Compound: Ac3Pm4Pr5
Source: Alexandria via LeMat-Bulk
Functional: GGA-PBE
Structure: optimized geometry

Geometry as extended XYZ:
```
12
Lattice="7.956 -3.156 0.000 7.956 3.156 0.000 -1.761 0.000 9.293" Properties=species:S:1:pos:R:3 pbc="T T T"
Ac 0.000 0.000 0.000
Ac 2.715 0.000 8.008
Ac 11.435 0.000 1.285
Pm 5.409 0.000 2.183
Pm 5.650 0.000 5.634
Pm 8.501 0.000 3.659
Pm 8.741 0.000 7.110
Pr -0.360 0.000 6.145
Pr 2.359 0.000 3.762
Pr 7.956 0.000 0.000
Pr 11.791 0.000 5.531
Pr 14.511 0.000 3.148
```

Results
Space-group type: C2/m (12)
Calculated total energy (eV/atom): -4.373
DOS at the Fermi energy (states/eV/atom): 1.477
Formation energy from the elements (eV per atom): 0.23